## CaMnW2 (meta-GGA SCAN)

Data for a PBEsol-optimized structure of CaMnW2.

Output
As for the magnetic moment: 3.431 Bohr magnetons per cell. As for the symmetry: F-43m. For the electronic total energy, the calculation gives -41.113 eV per atom. Its formation energy is 0.711 eV per atom. The value obtained for the excess energy over the best structure of this formula in the dataset is 0.0000 eV/atom.

The structure in POSCAR format:
```
CaMnW2
1.0
0.000 3.218 3.218
3.218 0.000 3.218
3.218 3.218 0.000
Ca Mn W
1 1 2
direct
0.000 0.000 0.000
0.250 0.250 0.250
0.500 0.500 0.500
0.750 0.750 0.750
```